[1]
Computed, not measured: crystalline SrRuCl2 at its relaxed geometry at the PBE level of DFT.

- Formation energy without anion corrections: -2.1 eV/f.u.
- M_tot: 0.000 μB per atom
- Energy above the most stable polymorph in this dataset: 208 meV/atom

Lattice parameters (Å, degrees): 5.0250 5.0250 15.4842 90.00 90.00 90.00
Last column: nearest neighbours and their distance in Å.
Space group I-42d (No. 122)
Unique sites:
Sr (0.0000, 0.0000, 0.0000) x4  4 Cl 2.84
Ru (0.0000, 0.0000, 0.5000) x4  4 Cl 2.46
Cl (0.1715, 0.2500, 0.6250) x8  2 Ru 2.46


[2]
Computed, not measured: crystalline SrTaHg at its relaxed geometry at the PBE level of DFT.

- Formation energy: 1.6 eV per formula unit
- M_tot: 0.060 μB per atom
- Energy above the most stable polymorph in this dataset: 0 meV/atom

Lattice parameters (Å, degrees): 3.1846 3.1846 14.4537 90.00 90.00 90.00
Last column: nearest neighbours and their distance in Å.
Space group I4mm (No. 107)
Unique sites:
Sr (0.0000, 0.0000, 0.0000) x2  4 Sr 3.18, 4 Hg 3.42, 4 Ta 3.50
Ta (0.0000, 0.0000, 0.6850) x2  4 Hg 3.00, 4 Ta 3.18
Hg (0.0000, 0.0000, 0.3217) x2  4 Ta 3.00, 4 Hg 3.18


[3]
Computed, not measured: crystalline BeInAsSe2 at its relaxed geometry at the PBE level of DFT.

- Formation energy without anion corrections: 5.5 eV/f.u.
- M_tot: 0.082 μB per atom
- Energy above the most stable polymorph in this dataset: 894 meV/atom

Lattice parameters (Å, degrees): 5.2569 5.2569 5.3116 90.00 90.00 90.00
Last column: nearest neighbours and their distance in Å.
Space group P4/mmm (No. 123)
Unique sites:
Be (0.0000, 0.0000, 0.0000) x1  4 As 3.72, 8 Se 3.74
In (0.5000, 0.5000, 0.5000) x1  4 Se 2.63, 2 As 2.66
As (0.5000, 0.5000, 0.0000) x1  2 In 2.66
Se (0.0000, 0.5000, 0.5000) x2  2 In 2.63


[4]
Computed, not measured: crystalline ZnSiPb2 at its relaxed geometry at the PBE level of DFT.

- Formation energy without anion corrections: 1.3 eV/f.u.
- M_tot: 0.000 μB per atom
- Energy above the most stable polymorph in this dataset: 88 meV/atom

Lattice parameters (Å, degrees): 3.3960 5.5009 10.3639 90.00 90.00 90.00
Last column: nearest neighbours and their distance in Å.
Space group Imm2 (No. 44)
Unique sites:
Zn (0.0000, 0.0000, 0.0000) x2  2 Si 2.56
Si (0.0000, 0.5000, 0.6853) x2  2 Zn 2.56
Pb (0.0000, 0.0000, 0.4401) x2  2 Si 3.14, 4 Zn 3.29, 4 Pb 3.40-3.44
Pb (0.0000, 0.5000, 0.2402) x2  2 Zn 3.18, 4 Si 3.28, 6 Pb 3.40-3.54


[5]
Computed, not measured: crystalline CsHgPb3 at its relaxed geometry at the PBE level of DFT.

- Formation energy: 0.9 eV per formula unit
- M_tot: 0.000 μB per atom
- Energy above the most stable polymorph in this dataset: 303 meV/atom

Lattice parameters (Å, degrees): 5.9780 5.9780 5.9780 90.00 90.00 90.00
Last column: nearest neighbours and their distance in Å.
Space group Pm-3m (No. 221)
Unique sites:
Cs (0.0000, 0.0000, 0.0000) x1  12 Pb 4.23
Hg (0.5000, 0.5000, 0.5000) x1  6 Pb 2.99
Pb (0.0000, 0.5000, 0.5000) x3  2 Hg 2.99


[6]
Computed, not measured: crystalline Tb2Ho7Cd2 at its relaxed geometry at the PBE level of DFT.

- Formation energy: -0.5 eV per formula unit
- M_tot: 0.000 μB per atom

Lattice parameters (Å, degrees): 8.4999 9.7286 8.4131 90.00 109.58 90.00
Last column: nearest neighbours and their distance in Å.
Space group C2/m (No. 12)
Unique sites:
Tb (0.0000, 0.1834, 0.0000) x4  2 Cd 3.15, 6 Ho 3.36-3.46
Ho (0.0000, 0.5000, 0.5000) x2  2 Cd 3.07, 2 Ho 3.30
Ho (0.1406, 0.5000, 0.9163) x4  2 Ho 3.16-3.30, 1 Cd 3.34, 4 Tb 3.40-3.46
Ho (0.1971, 0.1772, 0.6728) x8  3 Cd 3.20-3.50, 1 Tb 3.36, 1 Ho 3.45
Cd (0.1200, 0.0000, 0.3270) x4  6 Ho 3.07-3.34, 2 Tb 3.15


[7]
Computed, not measured: crystalline KHgW2 at its relaxed geometry at the PBE level of DFT.

- Formation energy: 4.4 eV per formula unit
- M_tot: 0.000 μB per atom

Lattice parameters (Å, degrees): 12.9573 2.7527 5.1115 90.00 113.13 90.00
Last column: nearest neighbours and their distance in Å.
Space group C2/m (No. 12)
Unique sites:
K (0.0000, 0.0000, 0.0000) x2  2 K 2.75, 4 Hg 2.90
Hg (0.0000, 0.5000, 0.5000) x2  2 Hg 2.75, 4 K 2.90, 4 W 2.95
W (0.2191, 0.0000, 0.7192) x4  6 W 2.75-2.99, 2 Hg 2.95


[8]
Computed, not measured: crystalline K2ZnRe at its relaxed geometry at the PBE level of DFT.

- Formation energy: 4.3 eV per formula unit
- M_tot: 0.000 μB per atom

Lattice parameters (Å, degrees): 2.7962 2.7962 11.7288 90.00 90.00 90.00
Last column: nearest neighbours and their distance in Å.
Space group P4/mmm (No. 123)
Unique sites:
K (0.0000, 0.0000, 0.2406) x2  4 K 2.80
Zn (0.5000, 0.5000, 0.5000) x1  4 Zn 2.80
Re (0.5000, 0.5000, 0.0000) x1  4 Re 2.80


Which formula does entry 4 have?
ZnSiPb2